# TcSnSeN2

An optimized crystal structure of TcSnSeN2 (PBE, Alexandria).

Output
* total magnetic moment: 0.00 μB/f.u.
* ΔE_f (raw): 46.2 kJ/mol of atoms
* volume: 83.8 Å³ per cell
* excess energy over the best structure of this formula in the dataset: 0 meV per atom

abc: 3.9484 3.9484 5.3732
angles: 90.00 90.00 90.00
Closest atoms and distances in Å follow each position.
Sites, in units of the cell vectors:
Se: 0.0000 0.0000 0.5000  2 Tc 2.69, 4 Sn 2.79
Sn: 0.5000 0.5000 0.5000  4 Se 2.79
N: 0.5000 0.0000 0.0000  2 Tc 1.97
Tc: 0.0000 0.0000 0.0000  4 N 1.97
N: 0.0000 0.5000 0.0000  2 Tc 1.97